RbZnCu GGA-PBE relaxed; ΔE to the lowest computed polymorph = 0.0 meV/atom; mass density = 3.8 Mg/m³; crystal system = cubic
1.0
3.918 -1.751 -2.787
2.620 -4.107 1.566
-0.434 -4.428 -2.527
Cu Rb Zn
1 1 1
direct
0.000 0.000 0.000
0.250 0.250 0.250
0.750 0.750 0.750